No. 1
TcAs2 | PBE | optimized geometry

Cell lengths 6.0835, 6.0835, 6.0835 Å; angles 90.00, 90.00, 90.00 degrees
Last column: nearest neighbours and their distance in Å.
Space group Pa-3 (No. 205)
Inequivalent atoms, fractional coordinates:
Tc: 0.0000 0.0000 0.0000 (multiplicity 4)  6 As 2.52
As: 0.1272 0.6272 0.8728 (multiplicity 8)  3 Tc 2.52, 1 As 2.68

Total DFT energy (no corrections)   -76.018 eV for the cell shown
Calculated density   7.3 g/cm³
Excess energy over the best structure of this formula in the dataset   235.4 meV/atom
Total moment   0.0 μB/cell

No. 2
LiPrTeO | PBE | optimized geometry

Cell lengths 4.7112, 4.3763, 7.3522 Å; angles 90.00, 90.00, 90.00 degrees
Last column: nearest neighbours and their distance in Å.
Space group Pmc2_1 (No. 26)
Inequivalent atoms, fractional coordinates:
Li: 0.0000 0.2410 0.0000 (multiplicity 2)  2 O 2.36, 3 Te 2.49
Pr: 0.5000 0.2494 0.3320 (multiplicity 2)  3 O 2.44-2.55
Te: 0.0000 0.2585 0.6621 (multiplicity 2)  3 Li 2.49
O: 0.5000 0.2415 0.0000 (multiplicity 2)  2 Li 2.36, 3 Pr 2.44-2.55

Total DFT energy (no corrections)   -44.763 eV for the cell shown
Calculated density   6.4 g/cm³
Excess energy over the best structure of this formula in the dataset   266.2 meV/atom
Total moment   0.0 μB/cell

No. 3
Er2ZnS4 | PBE | optimized geometry

Cell lengths 13.4094, 7.8200, 6.3009 Å; angles 90.00, 90.00, 90.00 degrees
Last column: nearest neighbours and their distance in Å.
Space group Pnma (No. 62)
Inequivalent atoms, fractional coordinates:
Er: 0.0000 0.0000 0.0000 (multiplicity 4)  6 S 2.70-2.73
Er: 0.2347 0.2500 0.4968 (multiplicity 4)  6 S 2.70-2.75
Zn: 0.0920 0.7500 0.4112 (multiplicity 4)  4 S 2.30-2.39
S: 0.0706 0.2500 0.7447 (multiplicity 4)  1 Zn 2.39
S: 0.0902 0.7500 0.7760 (multiplicity 4)  1 Zn 2.30
S: 0.1685 0.5122 0.2434 (multiplicity 8)  1 Zn 2.37

Total DFT energy (no corrections)   -155.300 eV for the cell shown
Calculated density   5.3 g/cm³
Total moment   0.0 μB/cell

No. 4
YErW2C3 | PBE | optimized geometry

Cell lengths 11.7848, 3.3140, 5.6987 Å; angles 90.00, 112.36, 90.00 degrees
Last column: nearest neighbours and their distance in Å.
Space group Cm (No. 8)
Inequivalent atoms, fractional coordinates:
Y: 0.0000 0.0000 0.0000 (multiplicity 2)  5 C 2.45-2.56
Er: 0.2795 0.5000 0.3585 (multiplicity 2)  5 C 2.43-2.53
W: 0.0458 0.5000 0.5072 (multiplicity 2)  4 C 2.05-2.17
W: 0.2350 0.0000 0.8545 (multiplicity 2)  4 C 2.06-2.16
C: 0.1401 0.5000 0.9170 (multiplicity 2)  3 W 2.10-2.17
C: 0.1422 0.0000 0.4456 (multiplicity 2)  3 W 2.11-2.16
C: 0.3897 0.0000 0.1828 (multiplicity 2)  2 W 2.05-2.06

Total DFT energy (no corrections)   -134.189 eV for the cell shown
Calculated density   10.6 g/cm³
Total moment   0.0 μB/cell

No. 5
TbEr2Ge4Au4 | PBE | optimized geometry

Cell lengths 4.3286, 7.0697, 14.5669 Å; angles 90.00, 90.00, 90.00 degrees
Last column: nearest neighbours and their distance in Å.
Space group Immm (No. 71)
Inequivalent atoms, fractional coordinates:
Tb: 0.0000 0.0000 0.0000 (multiplicity 2)  6 Ge 3.11-3.15
Er: 0.0000 0.5000 0.1258 (multiplicity 4)  6 Au 3.08-3.34, 6 Ge 3.12-3.16
Ge: 0.0000 0.0000 0.2165 (multiplicity 4)  6 Au 2.69-2.70
Ge: 0.0000 0.1835 0.5000 (multiplicity 4)  2 Au 2.56, 1 Ge 2.60
Au: 0.0000 0.2972 0.3328 (multiplicity 8)  4 Ge 2.56-2.70, 1 Au 2.87

Total DFT energy (no corrections)   -105.314 eV for the cell shown
Calculated density   11.7 g/cm³
Total moment   0.0 μB/cell

No. 6
Ho2LuFe7Co2 | PBE | optimized geometry

Cell lengths 5.0089, 5.0089, 24.3001 Å; angles 90.00, 90.00, 120.00 degrees
Last column: nearest neighbours and their distance in Å.
Space group R-3m (No. 166, hexagonal axes)
Inequivalent atoms, fractional coordinates:
Ho: 0.0000 0.0000 0.1418 (multiplicity 6)  12 Fe 2.90-3.04, 3 Ho 3.13
Lu: 0.0000 0.0000 0.0000 (multiplicity 3)  6 Co 2.89, 12 Fe 3.19
Fe: 0.0000 0.0000 0.5000 (multiplicity 3)  6 Fe 2.53
Fe: 0.0008 0.5004 0.0814 (multiplicity 18)  2 Co 2.44-2.46, 5 Fe 2.50-2.53
Co: 0.0000 0.0000 0.3326 (multiplicity 6)  6 Fe 2.44-2.46

Total DFT energy (no corrections)   -262.317 eV for the cell shown
Calculated density   9.6 g/cm³
Total moment   48.9 μB/cell
Formation enthalpy at 0 K   -0.116 eV/atom